Record 1
NiPtAu2F | PBE+U | optimized geometry

The mass density comes out at 10.6 g/cm3. The space group is P4/mmm (123). The raw total energy comes out at -12.91 eV for the cell shown. For the magnetic moment, the calculation gives 0.06 μB per formula unit.

Cell lengths 5.1519, 5.1519, 3.9302 Å; angles 90.00, 90.00, 90.00 degrees
With the nearest neighbours (Å) after each atom.
Atoms (fractional coordinates):
Ni (0.0000, 0.0000, 0.0000)  8 Au 3.24
Pt (0.5000, 0.5000, 0.5000)  2 F 1.97
Au (0.0000, 0.5000, 0.5000)  2 Pt 2.58
Au (0.5000, 0.0000, 0.5000)  2 Pt 2.58
F (0.5000, 0.5000, 0.0000)  2 Pt 1.97

***

Record 2
Rb2NiAuF6 | PBE+U | optimized geometry

The mass density comes out at 5.5 g/cm3. The space group is I4/mmm (139). The raw total energy comes out at -39.21 eV for the cell shown. For the magnetic moment, the calculation gives 1.00 μB per formula unit.

Cell lengths 6.0849, 6.0849, 6.0849 Å; angles 118.37, 118.37, 92.85 degrees
With the nearest neighbours (Å) after each atom.
Atoms (fractional coordinates):
Rb (0.2500, 0.7500, 0.5000)  12 F 3.05-3.12
Rb (0.7500, 0.2500, 0.5000)  12 F 3.05-3.12
Ni (0.0000, 0.0000, 0.0000)  6 F 2.00-2.07
Au (0.5000, 0.5000, 0.0000)  2 F 2.12
F (0.2263, 0.2263, 0.4526)  1 Ni 2.00
F (0.2263, 0.7737, 0.0000)  1 Ni 2.00
F (0.2471, 0.2471, 0.0000)  1 Ni 2.07, 1 Au 2.12
F (0.7529, 0.7529, 0.0000)  1 Ni 2.07, 1 Au 2.12
F (0.7737, 0.2263, 0.0000)  1 Ni 2.00
F (0.7737, 0.7737, 0.5474)  1 Ni 2.00

***

Record 3
NiSb2AuF | PBE+U | optimized geometry

The mass density comes out at 7.2 g/cm3. The space group is P4/mmm (123). The raw total energy comes out at -12.80 eV for the cell shown. For the magnetic moment, the calculation gives 0.05 μB per formula unit.

Cell lengths 5.3630, 5.3630, 4.1720 Å; angles 90.00, 90.00, 90.00 degrees
With the nearest neighbours (Å) after each atom.
Atoms (fractional coordinates):
Ni (0.0000, 0.0000, 0.0000)  8 Sb 3.40, 4 F 3.79
Sb (0.0000, 0.5000, 0.5000)  2 Au 2.68
Sb (0.5000, 0.0000, 0.5000)  2 Au 2.68
Au (0.5000, 0.5000, 0.5000)  2 F 2.09
F (0.5000, 0.5000, 0.0000)  2 Au 2.09

***

Question: The highest mass density belongs to which entry?
Answer: NiPtAu2F

***

Question: What is the raw total energy in the third record?
Answer: -12.80 eV for the cell shown